# 1
## TmThIrPt (GGA-PBE)

Data for a geometry-optimized TmThIrPt structure.

a b c (Å): 4.9902 4.9902 4.9902
angles (deg): 60.00 60.00 60.00
Sites, in units of the cell vectors:
Ir: 0.2500 0.2500 0.2500
Tm: 0.5000 0.5000 0.5000
Pt: 0.7500 0.7500 0.7500
Th: 0.0000 0.0000 0.0000

Computed properties:
Energy of formation from the pure elements (meV per atom): -971.3
Space group: No. 216



# 2
## PaMn8Fe2 (GGA-PBE)

Data for a geometry-optimized PaMn8Fe2 structure.

a b c (Å): 6.6222 6.6222 5.9277
angles (deg): 123.96 123.96 90.00
Last column: magnetic moment on the atom in μB.
Sites, in units of the cell vectors:
Pa: 0.5000 0.5000 0.0000  -0.03
Mn: 0.9794 0.9794 0.3009  0.26
Mn: 0.0206 0.0206 0.6991  0.26
Mn: 0.6785 0.6785 0.6991  0.26
Mn: 0.6785 0.0206 0.6991  0.26
Mn: 0.3215 0.3215 0.3009  0.26
Mn: 0.3215 0.9794 0.3009  0.26
Mn: 0.9794 0.3215 0.3009  0.26
Mn: 0.0206 0.6785 0.6991  0.26
Fe: 0.2500 0.7500 0.5000  2.85
Fe: 0.7500 0.2500 0.5000  2.85

Computed properties:
Energy of formation from the pure elements (meV per atom): 548.5
Space group: No. 139



# 3
## Nd4Tm6Sc (GGA-PBE)

Data for a geometry-optimized Nd4Tm6Sc structure.

a b c (Å): 9.6272 9.6272 9.6272
angles (deg): 57.68 140.12 140.12
Sites, in units of the cell vectors:
Nd: 0.0000 0.6380 0.0136
Nd: 0.3756 0.3620 0.3620
Nd: 0.0000 0.0136 0.6380
Nd: 0.6244 0.9864 0.9864
Tm: 0.0000 0.8029 0.4463
Tm: 0.0000 0.4463 0.8029
Tm: 0.3566 0.5537 0.5537
Tm: 0.5000 0.5000 0.0000
Tm: 0.6434 0.1971 0.1971
Tm: 0.5000 0.0000 0.5000
Sc: 0.0000 0.0000 0.0000

Computed properties:
Energy of formation from the pure elements (meV per atom): 291.9
Space group: No. 121



# 4
## Ac6DyY2 (GGA-PBE)

Data for a geometry-optimized Ac6DyY2 structure.

a b c (Å): 7.7322 9.9147 9.9147
angles (deg): 78.92 90.27 90.27
Sites, in units of the cell vectors:
Ac: 0.6287 0.5961 0.6081
Ac: 0.8713 0.3919 0.4039
Ac: 0.3713 0.4039 0.3919
Ac: 0.1287 0.6081 0.5961
Ac: 0.8731 0.8971 0.3897
Ac: 0.6269 0.6103 0.1029
Ac: 0.1269 0.1029 0.6103
Ac: 0.3731 0.3897 0.8971
Ac: 0.1140 0.6574 0.1136
Ac: 0.3860 0.8864 0.3426
Ac: 0.8860 0.3426 0.8864
Ac: 0.6140 0.1136 0.6574
Dy: 0.2500 0.0279 0.9721
Dy: 0.7500 0.9721 0.0279
Y: 0.3959 0.7953 0.8065
Y: 0.1041 0.1935 0.2047
Y: 0.6041 0.2047 0.1935
Y: 0.8959 0.8065 0.7953

Computed properties:
Energy of formation from the pure elements (meV per atom): 165.9
Space group: No. 15



Number 1: DFT total energy -30.68 eV/cell. Number 2: DFT total energy -93.74 eV/cell. Number 3: DFT total energy -49.02 eV/cell. Number 4: DFT total energy -81.38 eV/cell.